(1)
TlOs | PBE | optimized geometry

Properties
The energy of formation from the pure elements comes out at 4.731 eV per formula unit. The spin magnetization is 1.9 μB/f.u. The calculated total energy comes out at -8.865 eV per cell.

```
TlOs
1.0
4.399 0.000 0.000
2.199 3.810 0.000
2.199 1.270 3.592
Os Tl
1 1
Cartesian
0.000 0.000 0.000 Os
6.598 3.810 2.694 Tl
```


(2)
Tl3Os | PBE | optimized geometry

Properties
The energy of formation from the pure elements comes out at 3.930 eV per formula unit. The spin magnetization is 0.0 μB/f.u. The calculated total energy comes out at -28.798 eV per cell.

```
Tl3Os
1.0
3.084 -5.341 0.000
3.084 5.341 0.000
0.000 0.000 5.555
Tl Os
6 2
Cartesian
4.587 -0.913 1.389 Tl
1.581 -0.913 1.389 Tl
3.084 -3.516 1.389 Tl
1.581 0.913 4.166 Tl
4.587 0.913 4.166 Tl
3.084 3.516 4.166 Tl
3.084 1.780 1.389 Os
3.084 -1.780 4.166 Os
```


(3)
Tl3Os | PBE | optimized geometry

Properties
The energy of formation from the pure elements comes out at 2.759 eV per formula unit. The spin magnetization is 0.0 μB/f.u. The calculated total energy comes out at -15.570 eV per cell.

```
Tl3Os
1.0
3.237 0.000 0.000
0.000 3.237 0.000
0.000 0.000 9.194
Os Tl
1 3
Cartesian
0.000 0.000 0.000 Os
1.619 1.619 1.813 Tl
0.000 0.000 4.597 Tl
1.619 1.619 7.380 Tl
```


(4)
Tl2Os3 | PBE | optimized geometry

Properties
The energy of formation from the pure elements comes out at 6.481 eV per formula unit. The spin magnetization is 0.0 μB/f.u. The calculated total energy comes out at -31.941 eV per cell.

```
Tl2Os3
1.0
9.984 -1.736 -0.023
9.984 1.736 -0.023
9.689 0.000 2.969
Tl Os
2 3
Cartesian
11.888 0.000 1.172 Tl
17.770 0.000 1.751 Tl
0.000 0.000 0.000 Os
24.099 0.000 2.375 Os
5.559 0.000 0.548 Os
```


(5)
Tl2Os | PBE | optimized geometry

Properties
The energy of formation from the pure elements comes out at 2.791 eV per formula unit. The spin magnetization is 0.0 μB/f.u. The calculated total energy comes out at -13.171 eV per cell.

```
Tl2Os
1.0
3.059 0.000 0.000
-1.530 2.649 0.000
0.000 0.000 8.453
Os Tl
1 2
Cartesian
0.000 0.000 0.000 Os
1.530 0.883 6.011 Tl
0.000 1.766 2.442 Tl
```


(6)
TlOs | PBE | optimized geometry

Properties
The energy of formation from the pure elements comes out at 1.589 eV per formula unit. The spin magnetization is 0.0 μB/f.u. The calculated total energy comes out at -36.020 eV per cell.

```
TlOs
1.0
1.467 6.612 -0.005
-1.467 6.612 -0.005
0.000 3.155 6.290
Tl Os
3 3
Cartesian
0.000 10.691 3.604 Tl
0.000 14.068 2.970 Tl
0.000 9.644 0.180 Tl
0.000 0.479 0.106 Os
0.000 5.407 1.514 Os
0.000 8.424 5.226 Os
```


(7)
TlOs | PBE | optimized geometry

Properties
The energy of formation from the pure elements comes out at 2.347 eV per formula unit. The spin magnetization is 0.0 μB/f.u. The calculated total energy comes out at -11.249 eV per cell.

```
TlOs
1.0
-0.701 3.410 -3.294
-2.802 3.740 -1.059
0.081 4.750 -0.627
Os Tl
1 1
Cartesian
0.000 0.000 0.000 Os
-1.711 5.950 -2.490 Tl
```


(8)
TlOs | PBE | optimized geometry

Properties
The energy of formation from the pure elements comes out at 2.503 eV per formula unit. The spin magnetization is 0.0 μB/f.u. The calculated total energy comes out at -44.373 eV per cell.

```
TlOs
1.0
-4.243 -2.828 -1.474
-1.468 -0.447 5.081
-2.831 4.469 -0.425
Tl Os
4 4
Cartesian
-4.732 1.108 3.749 Tl
-0.809 0.113 0.301 Tl
-5.681 2.183 0.798 Tl
-5.861 -1.014 1.515 Tl
-3.878 3.406 2.553 Os
-3.344 0.468 1.245 Os
-5.664 0.150 -1.021 Os
-4.198 -1.634 3.586 Os
```


Going through the records in order, we get energy above the lowest structure with this stoichiometry values of 1762; 546; 253; 295; 457; 192; 570; 648 meV per atom.